SrAc2BO5 | PBE | optimized geometry

Cell: 6.984 6.984 7.266 Å, 118.73 118.73 90.00°
Sites, in units of the cell vectors:
O1 0.541 0.289 0.331
O2 0.289 0.789 0.331
O3 0.211 0.959 0.669
O4 0.041 0.541 0.331
O5 0.789 0.041 0.331
O6 0.000 0.000 0.000
O7 0.459 0.711 0.669
O8 0.500 0.500 0.000
O9 0.959 0.459 0.669
O10 0.711 0.211 0.669
Ac1 0.676 0.176 0.000
Ac2 0.824 0.676 0.000
Ac3 0.176 0.324 0.000
Ac4 0.324 0.824 0.000
Sr1 0.750 0.750 0.500
Sr2 0.250 0.250 0.500
B1 0.750 0.250 0.500
B2 0.250 0.750 0.500

Properties
Formation energy (no corrections): -2.709 eV/atom
ρ: 8.1 g/cm³